A plane-wave DFT calculation with GGA+U was carried out for crystalline Eu3WO6 at its relaxed geometry.

Geometry as POSCAR:
```
Eu3WO6
1.0
0.000 4.258 4.258
4.258 0.000 4.258
4.258 4.258 0.000
Eu W O
3 1 6
Direct
0.000 0.000 0.000
0.250 0.250 0.250
0.750 0.750 0.750
0.500 0.500 0.500
0.270 0.270 0.730
0.270 0.730 0.270
0.270 0.730 0.730
0.730 0.270 0.270
0.730 0.270 0.730
0.730 0.730 0.270
```

* magnetic moment: 21.0 μB per formula unit
* DFT total energy: -93.18 eV/cell